Material: PmYMgNi
Method: DFT, GGA-PBE
State: relaxed

Calculated values
The value obtained for the formation energy is -0.09 eV/atom. Its density of states at the Fermi level is 14.2 states/eV per cell.

a b c (Å): 7.251 7.251 7.251
angles (deg): 90.00 90.00 90.00
Space group F-43m (No. 216)
Symmetry-distinct sites (fractional):
1 Pm 0.000 0.000 0.000 [4 per cell]
2 Y 0.000 0.000 0.500 [4 per cell]
3 Mg 0.250 0.250 0.750 [4 per cell]
4 Ni 0.250 0.250 0.250 [4 per cell]

Material: Li2TaTe
Method: DFT, GGA-PBE
State: relaxed

Calculated values
The calculation puts the uncorrected formation energy at 0.272 eV/atom. Its density of states at the Fermi level is 14.1 states/eV per cell.

a b c (Å): 6.591 6.591 6.591
angles (deg): 90.00 90.00 90.00
Space group F-43m (No. 216)
Symmetry-distinct sites (fractional):
1 Li 0.000 0.000 0.000 [4 per cell]
2 Li 0.250 0.250 0.250 [4 per cell]
3 Ta 0.000 0.000 0.500 [4 per cell]
4 Te 0.250 0.250 0.750 [4 per cell]

Material: BaLiTbF6
Method: DFT, GGA-PBE
State: relaxed

Calculated values
The calculation puts the uncorrected formation energy at -3.744 eV/atom. Its density of states at the Fermi level is 0.0 states/eV per cell.

a b c (Å): 5.6504 5.6504 11.3580
angles (deg): 90.00 90.00 120.00
Space group P-31c (No. 163)
Symmetry-distinct sites (fractional):
1 Ba 0.0000 0.0000 0.0000 [2 per cell]
2 Li 0.3333 0.6667 0.2500 [2 per cell]
3 Tb 0.3333 0.6667 0.7500 [2 per cell]
4 F 0.0116 0.3730 0.1446 [12 per cell]

Material: Re2OsSe
Method: DFT, GGA-PBE
State: relaxed

Calculated values
The calculation puts the uncorrected formation energy at 0.402 eV/atom. Its density of states at the Fermi level is 2.3 states/eV per cell.

a b c (Å): 2.936 2.936 6.841
angles (deg): 90.00 90.00 90.00
Space group P4/mmm (No. 123)
Symmetry-distinct sites (fractional):
1 Re 0.000 0.000 0.237 [2 per cell]
2 Os 0.500 0.500 0.500 [1 per cell]
3 Se 0.500 0.500 0.000 [1 per cell]

- Number 1 is which compound?
  PmYMgNi